VASP calculation (PBE) on RbMnCrTe3 after structural relaxation.

Output
energy relative to the elements, uncorrected: -0.406 eV per atom
calculated total energy: -5.271 eV per atom
calculated volume: 391 Å³/cell

Cell lengths 9.441, 4.221, 10.604 Å; angles 90.00, 112.14, 90.00 degrees
Space group P2_1/m (No. 11)
Inequivalent atoms, fractional coordinates:
1 Rb 0.220 0.250 0.251 (multiplicity 2)
2 Mn 0.076 0.250 0.606 (multiplicity 2)
3 Cr 0.335 0.750 0.860 (multiplicity 2)
4 Te 0.138 0.250 0.870 (multiplicity 2)
5 Te 0.234 0.750 0.560 (multiplicity 2)
6 Te 0.473 0.750 0.136 (multiplicity 2)